# 1
First-principles (GGA-PBE) data for a relaxed Ca4MnZn crystal, as listed in Alexandria via LeMat-Bulk.

Summary:
For the energy relative to the elements, the calculation gives 4.1 eV/f.u.

abc: 9.424 9.424 9.424
angles: 90.00 90.00 90.00
Space group F-43m (No. 216)
Inequivalent atoms, fractional coordinates:
Ca1 0.125 0.125 0.125 [16 per cell]
Mn1 0.250 0.250 0.750 [4 per cell]
Zn1 0.000 0.000 0.500 [4 per cell]

***

# 2
First-principles (GGA-PBE) data for a relaxed CaSb2Se4 crystal, as listed in Alexandria via LeMat-Bulk.

Summary:
For the formation energy from raw total energies, the calculation gives -0.711 eV per atom. The energy above the most stable polymorph in this dataset is 0.0 meV/atom.

abc: 15.750 4.126 7.190
angles: 90.00 115.54 90.00
Space group C2/m (No. 12)
Inequivalent atoms, fractional coordinates:
Ca1 0.000 0.000 0.000 [2 per cell]
Sb1 0.242 0.500 0.728 [4 per cell]
Se1 0.133 0.000 0.457 [4 per cell]
Se2 0.133 0.500 0.986 [4 per cell]

***

# 3
First-principles (GGA-PBE) data for a relaxed Cs2Hf2MgTe6 crystal, as listed in Alexandria via LeMat-Bulk.

Summary:
For the formation energy from raw total energies, the calculation gives -0.933 eV per atom.

abc: 7.321 12.693 9.451
angles: 90.00 104.60 90.00
Space group C2/m (No. 12)
Inequivalent atoms, fractional coordinates:
Cs1 0.000 0.164 0.000 [4 per cell]
Hf1 0.000 0.333 0.500 [4 per cell]
Mg1 0.000 0.000 0.500 [2 per cell]
Te1 0.212 0.500 0.681 [4 per cell]
Te2 0.230 0.170 0.680 [8 per cell]

***

# 4
First-principles (GGA-PBE) data for a relaxed Cs2Au2Cl crystal, as listed in Alexandria via LeMat-Bulk.

Summary:
For the formation energy from raw total energies, the calculation gives -0.545 eV per atom. The energy above the most stable polymorph in this dataset is 325.8 meV/atom.

abc: 9.402 9.402 5.241
angles: 90.00 90.00 90.00
Space group P4/mbm (No. 127)
Inequivalent atoms, fractional coordinates:
Cs1 0.193 0.307 0.000 [4 per cell]
Au1 0.099 0.599 0.500 [4 per cell]
Cl1 0.000 0.000 0.000 [2 per cell]

***

# 5
First-principles (GGA-PBE) data for a relaxed CeNd2Rh crystal, as listed in Alexandria via LeMat-Bulk.

Summary:
For the energy relative to the elements, the calculation gives -1.6 eV/f.u. The energy above the most stable polymorph in this dataset is 0.0 meV/atom.

abc: 7.172 9.977 6.509
angles: 90.00 90.00 90.00
Space group Pnma (No. 62)
Inequivalent atoms, fractional coordinates:
Ce1 0.040 0.250 0.160 [4 per cell]
Nd1 0.178 0.066 0.666 [8 per cell]
Rh1 0.133 0.750 0.471 [4 per cell]

***

# 6
First-principles (GGA-PBE) data for a relaxed TbH6Os crystal, as listed in Alexandria via LeMat-Bulk.

Summary:
The calculation puts the electronic total energy at -4.6713 eV/atom.

abc: 4.5035 4.5035 11.3449
angles: 90.00 90.00 120.00
Space group R-3m (No. 166, hexagonal axes)
Inequivalent atoms, fractional coordinates:
Tb1 0.0000 0.0000 0.0000 [3 per cell]
H1 0.0355 0.5177 0.9133 [18 per cell]
Os1 0.0000 0.0000 0.5000 [3 per cell]

***

# 7
First-principles (GGA-PBE) data for a relaxed Sm3Tm8 crystal, as listed in Alexandria via LeMat-Bulk.

Summary:
For the energy relative to the elements, the calculation gives 0.3 eV/f.u. The energy above the most stable polymorph in this dataset is 0.0 meV/atom.

abc: 3.5310 3.5310 94.4722
angles: 90.00 90.00 120.00
Space group R-3m (No. 166, hexagonal axes)
Inequivalent atoms, fractional coordinates:
Sm1 0.0000 0.0000 0.0000 [3 per cell]
Sm2 0.0000 0.0000 0.2721 [6 per cell]
Tm1 0.0000 0.0000 0.0920 [6 per cell]
Tm2 0.0000 0.0000 0.1816 [6 per cell]
Tm3 0.0000 0.0000 0.3639 [6 per cell]
Tm4 0.0000 0.0000 0.4552 [6 per cell]

***

Number 1: spin magnetization 4.4 μB/f.u.. Number 2: spin magnetization 0.0 μB/f.u.. Number 3: spin magnetization 0.0 μB/f.u.. Number 4: spin magnetization 1.0 μB/f.u.. Number 5: spin magnetization 0.8 μB/f.u.. Number 6: spin magnetization 0.9 μB/f.u.. Number 7: spin magnetization 0.0 μB/f.u..